{"formula": "Pa2BiPt9", "functional": "GGA-PBE", "state": "relaxed", "vol_a3_per_cell": 219.6, "formation_energy_ev_per_atom": -0.68, "cell": [[4.181, 0.000, 0.000], [0.000, 4.181, 0.000], [0.000, 0.000, 12.559]], "species": ["Pa", "Pa", "Bi", "Pt", "Pt", "Pt", "Pt", "Pt", "Pt", "Pt", "Pt", "Pt"], "fractional_positions": [[0.000, 0.000, 0.170], [0.000, 0.000, 0.830], [0.000, 0.000, 0.500], [0.000, 0.500, 0.000], [0.000, 0.500, 0.324], [0.000, 0.500, 0.676], [0.500, 0.000, 0.000], [0.500, 0.000, 0.324], [0.500, 0.000, 0.676], [0.500, 0.500, 0.162], [0.500, 0.500, 0.500], [0.500, 0.500, 0.838]]}